Record 1
CoTcPt: optimized geometry, GGA-PBE.

The structure in POSCAR format:
```
CoTcPt
1.0
-0.367 -1.864 1.841
-2.751 -5.516 -6.133
7.130 -1.305 -1.801
Pt Co Tc
4 4 4
Direct
0.056 0.368 0.112 Pt
0.452 0.131 0.905 Pt
0.548 0.869 0.095 Pt
0.944 0.632 0.888 Pt
0.270 0.624 0.540 Co
0.723 0.873 0.447 Co
0.730 0.376 0.460 Co
0.277 0.127 0.553 Co
0.372 0.388 0.745 Tc
0.636 0.127 0.272 Tc
0.628 0.612 0.255 Tc
0.364 0.873 0.728 Tc
```

Output
Its volume is 169.0 Å³/cell. Its electronic total energy is -7.7045 eV per atom. The calculated formation energy comes out at 133 meV/atom. The value obtained for the density of states at the Fermi level is 3.0 states/eV/f.u. As for the distance to the lowest polymorph of the same formula: 17.8 kJ per mole of atoms. As for the crystal system: monoclinic.



Record 2
CoTcPt6: optimized geometry, GGA-PBE.

The structure in POSCAR format:
```
CoTcPt6
1.0
-0.669 -0.986 -3.743
3.581 -1.599 -0.218
-2.911 -6.835 2.321
Co Tc Pt
1 1 6
Direct
0.000 0.000 0.000 Co
0.000 0.000 0.500 Tc
0.500 0.500 0.000 Pt
0.500 0.500 0.500 Pt
0.500 0.000 0.248 Pt
0.500 0.000 0.752 Pt
0.000 0.500 0.248 Pt
0.000 0.500 0.752 Pt
```

Output
Its volume is 120.1 Å³/cell. Its electronic total energy is -6.7832 eV per atom. The calculated formation energy comes out at -69 meV/atom. The value obtained for the density of states at the Fermi level is 11.5 states/eV/f.u. As for the crystal system: tetragonal.



Record 3
CoTcPt: optimized geometry, GGA-PBE.

The structure in POSCAR format:
```
CoTcPt
1.0
4.022 0.000 0.000
2.011 3.484 0.000
2.011 1.161 3.284
Co Pt Tc
1 1 1
Direct
0.750 0.750 0.750 Co
0.000 0.000 0.000 Pt
0.500 0.500 0.500 Tc
```

Output
Its volume is 46.0 Å³/cell. Its electronic total energy is -7.4529 eV per atom. The calculated formation energy comes out at 385 meV/atom. The value obtained for the density of states at the Fermi level is 3.9 states/eV/f.u. As for the distance to the lowest polymorph of the same formula: 42.1 kJ per mole of atoms. As for the crystal system: cubic.



Record 4
Co2Tc2Pt: optimized geometry, GGA-PBE.

The structure in POSCAR format:
```
Co2Tc2Pt
1.0
-5.435 3.033 -3.294
-3.915 -5.734 1.179
-0.824 1.039 2.316
Co Tc Pt
4 4 2
Direct
0.379 0.879 0.000 Co
0.879 0.621 0.000 Co
0.621 0.121 0.000 Co
0.121 0.379 0.000 Co
0.173 0.673 0.500 Tc
0.673 0.827 0.500 Tc
0.827 0.327 0.500 Tc
0.327 0.173 0.500 Tc
0.000 0.000 0.000 Pt
0.500 0.500 0.000 Pt
```

Output
Its volume is 132.3 Å³/cell. Its electronic total energy is -8.1417 eV per atom. The calculated formation energy comes out at 55 meV/atom. The value obtained for the density of states at the Fermi level is 5.5 states/eV/f.u. As for the distance to the lowest polymorph of the same formula: 0.0 kJ per mole of atoms. As for the crystal system: tetragonal.



Record 5
Co2Tc2Pt: optimized geometry, GGA-PBE.

The structure in POSCAR format:
```
Co2Tc2Pt
1.0
-1.771 1.771 5.692
1.771 -1.771 5.692
1.771 1.771 -5.692
Co Tc Pt
2 2 1
Direct
0.250 0.750 0.500 Co
0.750 0.250 0.500 Co
0.604 0.604 0.000 Tc
0.396 0.396 0.000 Tc
0.000 0.000 0.000 Pt
```

Output
Its volume is 71.4 Å³/cell. Its electronic total energy is -7.7916 eV per atom. The calculated formation energy comes out at 405 meV/atom. The value obtained for the density of states at the Fermi level is 6.9 states/eV/f.u. As for the distance to the lowest polymorph of the same formula: 33.8 kJ per mole of atoms. As for the crystal system: tetragonal.



Record 6
Co3TcPt: optimized geometry, GGA-PBE.

The structure in POSCAR format:
```
Co3TcPt
1.0
4.546 0.000 0.000
0.000 4.546 0.000
0.000 0.000 4.546
Co Tc Pt
3 1 1
Direct
0.000 0.500 0.000 Co
0.000 0.000 0.500 Co
0.500 0.000 0.000 Co
0.500 0.500 0.500 Tc
0.000 0.000 0.000 Pt
```

Output
Its volume is 94.0 Å³/cell. Its electronic total energy is -5.9461 eV per atom. The calculated formation energy comes out at 1599 meV/atom. The value obtained for the density of states at the Fermi level is 5.0 states/eV/f.u. As for the distance to the lowest polymorph of the same formula: 13.7 kJ per mole of atoms. As for the crystal system: cubic.



Record 7
UCoTcPt: optimized geometry, GGA-PBE.

The structure in POSCAR format:
```
UCoTcPt
1.0
3.826 0.000 0.000
0.000 3.965 0.000
0.000 0.000 4.171
U Co Tc Pt
1 1 1 1
Direct
0.000 0.500 0.500 U
0.500 0.500 0.000 Co
0.500 0.000 0.500 Tc
0.000 0.000 0.000 Pt
```

Output
Its volume is 63.3 Å³/cell. Its electronic total energy is -9.0990 eV per atom. The calculated formation energy comes out at -399 meV/atom. The value obtained for the density of states at the Fermi level is 3.9 states/eV/f.u. As for the crystal system: orthorhombic.



Record 8
Co2TcPtW: optimized geometry, GGA-PBE.

The structure in POSCAR format:
```
Co2TcPtW
1.0
-1.702 -2.764 -2.944
4.464 -1.276 -1.382
0.013 -3.198 2.995
Co W Pt Tc
2 1 1 1
Direct
0.000 0.000 0.500 Co
0.500 0.000 0.000 Co
0.000 0.000 0.000 W
0.000 0.500 0.000 Pt
0.500 0.500 0.500 Tc
```

Output
Its volume is 93.0 Å³/cell. Its electronic total energy is -7.0636 eV per atom. The calculated formation energy comes out at 1651 meV/atom. The value obtained for the density of states at the Fermi level is 6.1 states/eV/f.u. As for the crystal system: tetragonal.



Record 9
Co5Te12Pt: optimized geometry, GGA-PBE.

The structure in POSCAR format:
```
Co5Te12Pt
1.0
-3.480 3.084 -4.672
1.991 -0.210 -6.272
-5.110 -10.616 -0.118
Co Te Pt
5 12 1
Direct
0.500 0.000 0.500 Co
0.168 0.663 0.500 Co
0.832 0.337 0.500 Co
0.667 0.667 0.000 Co
0.333 0.333 0.000 Co
0.796 0.000 0.387 Te
0.204 0.000 0.613 Te
0.609 0.000 0.880 Te
0.391 0.000 0.120 Te
0.312 0.648 0.880 Te
0.039 0.648 0.120 Te
0.961 0.352 0.880 Te
0.688 0.352 0.120 Te
0.538 0.333 0.614 Te
0.871 0.667 0.614 Te
0.129 0.333 0.386 Te
0.462 0.667 0.386 Te
0.000 0.000 0.000 Pt
```

Output
Its volume is 435.0 Å³/cell. Its electronic total energy is -4.6237 eV per atom. The value obtained for the density of states at the Fermi level is 10.0 states/eV/f.u. For the uncorrected formation energy, the calculation gives -220 meV per atom. As for the crystal system: monoclinic.



Record 10
CoTePt2: optimized geometry, GGA-PBE.

The structure in POSCAR format:
```
CoTePt2
1.0
-1.377 1.254 -3.358
-3.562 -0.878 1.133
-3.436 8.752 2.482
Te Co Pt
2 2 4
Direct
0.000 0.000 0.000 Te
0.750 0.250 0.500 Te
0.500 0.500 0.000 Co
0.250 0.750 0.500 Co
0.614 0.125 0.250 Pt
0.136 0.625 0.250 Pt
0.375 0.386 0.750 Pt
0.875 0.864 0.750 Pt
```

Output
Its volume is 137.7 Å³/cell. Its electronic total energy is -5.4449 eV per atom. The value obtained for the density of states at the Fermi level is 3.8 states/eV/f.u. For the uncorrected formation energy, the calculation gives 137 meV per atom. As for the crystal system: tetragonal.



Record 11
CoTe2Pt: optimized geometry, GGA-PBE.

The structure in POSCAR format:
```
CoTe2Pt
1.0
5.840 0.000 0.000
0.000 5.840 0.000
2.920 2.920 5.821
Te Co Pt
4 2 2
Direct
0.598 0.125 0.250 Te
0.152 0.625 0.250 Te
0.375 0.402 0.750 Te
0.875 0.848 0.750 Te
0.500 0.500 0.000 Co
0.250 0.750 0.500 Co
0.000 0.000 0.000 Pt
0.750 0.250 0.500 Pt
```

Output
Its volume is 198.5 Å³/cell. Its electronic total energy is -4.8578 eV per atom. The value obtained for the density of states at the Fermi level is 4.4 states/eV/f.u. As for the distance to the lowest polymorph of the same formula: 10.1 kJ per mole of atoms. For the uncorrected formation energy, the calculation gives 0 meV per atom. As for the crystal system: tetragonal.



Record 12
CoTe2Pt: optimized geometry, GGA-PBE.

The structure in POSCAR format:
```
CoTe2Pt
1.0
-1.179 1.981 2.667
-1.739 -2.779 1.295
5.822 -1.815 3.921
Co Pt Te
1 1 2
Direct
0.000 0.000 0.524 Co
0.500 0.500 0.728 Pt
0.000 0.000 0.879 Te
0.500 0.500 0.369 Te
```

Output
Its volume is 90.1 Å³/cell. Its electronic total energy is -4.8910 eV per atom. The value obtained for the density of states at the Fermi level is 2.7 states/eV/f.u. As for the distance to the lowest polymorph of the same formula: 7.0 kJ per mole of atoms. For the uncorrected formation energy, the calculation gives -33 meV per atom. As for the crystal system: tetragonal.